1.
Rb2AlTcPb, relaxed, DFT GGA-PBEsol; DFT formation energy = 1.243 eV per atom; SG = P4/mmm
1.0
6.234 0.000 0.000
0.000 6.234 0.000
0.000 0.000 5.253
Rb Al Tc Pb
2 1 1 1
Cartesian
0.000 3.117 0.000
3.117 0.000 0.000
0.000 0.000 2.626
3.117 3.117 0.000
3.117 3.117 2.626

=====

2.
AlRePb3, relaxed, DFT GGA-PBEsol; DFT formation energy = 0.820 eV per atom; SG = Pm-3m
1.0
5.275 0.000 0.000
0.000 5.275 0.000
0.000 0.000 5.275
Al Re Pb
1 1 3
Cartesian
0.000 0.000 0.000
2.637 2.637 2.637
0.000 2.637 2.637
2.637 0.000 2.637
2.637 2.637 0.000

=====

3.
Al2RePb, relaxed, DFT GGA-PBEsol; DFT formation energy = 0.650 eV per atom; SG = C2/m
1.0
5.527 0.000 0.000
0.000 8.794 0.000
-1.320 0.000 2.925
Al Re Pb
4 2 2
Cartesian
1.382 2.198 0.000
1.382 6.595 0.000
4.145 2.198 0.000
4.145 6.595 0.000
-0.660 0.000 1.462
2.104 4.397 1.462
-0.660 4.397 1.462
2.104 0.000 1.462

=====

4.
Al2RePb, relaxed, DFT GGA-PBEsol; DFT formation energy = 0.348 eV per atom; SG = Amm2
1.0
4.262 0.000 0.000
0.000 3.394 0.000
0.000 0.000 10.116
Al Re Pb
4 2 2
Cartesian
0.000 0.000 0.000
0.000 1.697 5.058
2.131 0.000 4.282
2.131 1.697 9.340
0.000 0.000 2.978
0.000 1.697 8.036
2.131 0.000 6.964
2.131 1.697 1.906

=====

5.
AlRePb2, relaxed, DFT GGA-PBEsol; DFT formation energy = 0.546 eV per atom; SG = Cmm2
1.0
3.483 0.000 0.000
0.000 5.070 0.000
0.000 0.000 9.902
Al Re Pb
2 2 4
Cartesian
0.000 0.000 0.000
1.741 2.535 0.000
0.000 2.535 1.789
1.741 0.000 1.789
0.000 0.000 4.035
0.000 2.535 7.418
1.741 0.000 7.418
1.741 2.535 4.035

=====

6.
Al4RePb, relaxed, DFT GGA-PBEsol; DFT formation energy = 0.374 eV per atom; SG = F-43m
1.0
0.000 3.681 3.681
3.681 0.000 3.681
3.681 3.681 0.000
Al Re Pb
4 1 1
Cartesian
2.775 2.775 2.775
4.587 4.587 2.775
4.587 2.775 4.587
2.775 4.587 4.587
5.522 5.522 5.522
0.000 0.000 0.000

=====

7.
AlRePb2, relaxed, DFT GGA-PBEsol; DFT formation energy = 0.929 eV per atom; SG = Pmmm
1.0
3.471 0.000 0.000
0.000 4.695 0.000
0.000 0.000 5.002
Al Re Pb
1 1 2
Cartesian
0.000 0.000 0.000
1.736 0.000 2.501
0.000 2.347 2.501
1.736 2.347 0.000

=====

8.
AlRe2Pb, relaxed, DFT GGA-PBEsol; DFT formation energy = 0.768 eV per atom; SG = P4/mmm
1.0
4.459 0.000 0.000
0.000 4.459 0.000
0.000 0.000 3.253
Al Re Pb
1 2 1
Cartesian
0.000 0.000 0.000
0.000 2.230 1.626
2.230 0.000 1.626
2.230 2.230 0.000